VASP calculation (PBE) on crystalline Ni6RuRh2 at its relaxed geometry.

Structure (POSCAR):
```
Ni6RuRh2
1.0
2.4044 0.0000 -0.8237
0.0000 7.0794 0.0000
-2.8385 -3.5397 7.4405
Ni Rh Ru
6 2 1
direct
0.8355 0.0000 0.6675
0.8355 0.6675 0.6675
0.5000 0.3326 0.0000
0.1645 0.3325 0.3325
0.1645 0.0000 0.3325
0.5000 0.6674 0.0000
0.6671 0.6668 0.3335
0.3329 0.3332 0.6665
0.0000 0.0000 0.0000
```

Calculated values
VASP energy (eV/atom): -6.398
Crystal system: monoclinic
ΔE_f (kJ/mol of atoms): 11.59
Polymorph energy (0 for the lowest one) (eV per atom): 0.000
Space-group type: No. 12

VASP calculation (PBE) on crystalline Al2SnAu2 at its relaxed geometry.

Structure (POSCAR):
```
Al2SnAu2
1.0
-3.0540 -3.0158 6.9049
6.7007 -4.4943 1.0007
1.2196 2.1473 1.4773
Sn Al Au
2 4 4
direct
0.5000 0.5000 0.0000
0.0000 0.0000 0.0000
0.6308 0.8692 0.5000
0.1308 0.6308 0.5000
0.8692 0.3692 0.5000
0.3692 0.1308 0.5000
0.3360 0.8360 0.0000
0.1640 0.3360 0.0000
0.6640 0.1640 0.0000
0.8360 0.6640 0.0000
```

Calculated values
VASP energy (eV/atom): -3.791
Crystal system: tetragonal
ΔE_f (kJ/mol of atoms): -17.63
Polymorph energy (0 for the lowest one) (eV per atom): 0.070
Space-group type: No. 127